[1]
A crystal of MnHg2Sb relaxed with PBEsol. Source: Alexandria, functional meta-GGA SCAN.

Computed properties:
The value obtained for the uncorrected formation energy is 0.07 eV/atom. The value obtained for the density is 11.14 g/cm3.

abc: 3.012 4.491 12.740
angles: 90.00 90.00 90.00
Space group Immm (No. 71)
Unique sites:
Mn 0.000 0.000 0.000 (multiplicity 2)
Hg 0.000 0.500 0.307 (multiplicity 4)
Sb 0.000 0.000 0.500 (multiplicity 2)


[2]
A crystal of KHgTe3 relaxed with PBEsol. Source: Alexandria, functional meta-GGA SCAN.

Computed properties:
The value obtained for the uncorrected formation energy is -0.06 eV/atom. The value obtained for the density is 5.73 g/cm3.

abc: 5.651 5.651 5.651
angles: 90.00 90.00 90.00
Space group Pm-3m (No. 221)
Unique sites:
K 0.000 0.000 0.000 (multiplicity 1)
Hg 0.500 0.500 0.500 (multiplicity 1)
Te 0.000 0.500 0.500 (multiplicity 3)


[3]
A crystal of SiMoN2 relaxed with PBEsol. Source: Alexandria, functional meta-GGA SCAN.

Computed properties:
The value obtained for the uncorrected formation energy is -0.28 eV/atom. The value obtained for the density is 5.96 g/cm3.

abc: 2.8287 2.8287 18.3513
angles: 90.00 90.00 120.00
Space group R-3m (No. 166, hexagonal axes)
Unique sites:
Si 0.0000 0.0000 0.0000 (multiplicity 3)
Mo 0.0000 0.0000 0.5000 (multiplicity 3)
N 0.0000 0.0000 0.0966 (multiplicity 6)


[4]
A crystal of ReAg3 relaxed with PBEsol. Source: Alexandria, functional meta-GGA SCAN.

Computed properties:
The energy relative to the lowest polymorph listed for this composition comes out at 5.97 kcal/mol of atoms. For the energy of formation, the calculation gives 0.64 eV per atom. The value obtained for the density is 13.32 g/cm3.

abc: 2.649 4.203 5.710
angles: 90.00 90.00 90.00
Space group Pmmm (No. 47)
Unique sites:
Re 0.000 0.000 0.000 (multiplicity 1)
Ag 0.000 0.000 0.500 (multiplicity 1)
Ag 0.500 0.500 0.242 (multiplicity 2)


[5]
A crystal of TaTl2Si relaxed with PBEsol. Source: Alexandria, functional meta-GGA SCAN.

Computed properties:
The energy relative to the lowest polymorph listed for this composition comes out at 2.36 kcal/mol of atoms. The value obtained for the uncorrected formation energy is 0.72 eV/atom. The value obtained for the density is 12.65 g/cm3.

abc: 3.030 5.063 5.286
angles: 90.00 90.00 90.00
Space group Pmmm (No. 47)
Unique sites:
Ta 0.000 0.000 0.000 (multiplicity 1)
Tl 0.000 0.500 0.500 (multiplicity 1)
Tl 0.500 0.000 0.500 (multiplicity 1)
Si 0.500 0.500 0.000 (multiplicity 1)


[6]
A crystal of TlTcAs relaxed with PBEsol. Source: Alexandria, functional meta-GGA SCAN.

Computed properties:
For the energy of formation, the calculation gives 0.46 eV per atom. The value obtained for the density is 11.19 g/cm3.

abc: 4.2341 4.2341 3.6073
angles: 90.00 90.00 120.00
Space group P-6m2 (No. 187)
Unique sites:
Tl 0.0000 0.0000 0.0000 (multiplicity 1)
Tc 0.3333 0.6667 0.5000 (multiplicity 1)
As 0.6667 0.3333 0.5000 (multiplicity 1)